1) Here is an optimized crystal structure of TmTlGa from Alexandria via LeMat-Bulk. Energies are from GGA-PBE.

Cell and atoms, written as POSCAR:
```
TmTlGa
1.0
-1.103 -2.756 -1.821
2.707 -1.854 1.167
-4.039 0.518 4.993
Tm Ga Tl
1 1 1
Cartesian
-1.738 -0.960 2.506 Tm
0.025 -2.735 0.794 Ga
-2.185 -3.955 3.979 Tl
```

Results
D(E_F): 3.3 states/eV/cell
Crystal system: tetragonal

***

2) Here is an optimized crystal structure of TmTlGa from Alexandria via LeMat-Bulk. Energies are from GGA-PBE.

Cell and atoms, written as POSCAR:
```
TmTlGa
1.0
4.860 0.000 0.000
2.430 4.209 0.000
2.430 1.403 7.901
Tl Tm Ga
2 2 2
Cartesian
4.860 2.806 1.004 Tl
4.860 2.806 6.897 Tl
2.430 1.403 2.759 Tm
7.290 4.209 5.142 Tm
2.430 1.403 5.780 Ga
7.290 4.209 2.121 Ga
```

Results
D(E_F): 4.0 states/eV/cell
Crystal system: trigonal

***

3) Here is an optimized crystal structure of TmTlGa from Alexandria via LeMat-Bulk. Energies are from GGA-PBE.

Cell and atoms, written as POSCAR:
```
TmTlGa
1.0
3.828 0.000 0.000
0.000 4.631 0.000
0.000 -2.316 4.011
Tl Tm Ga
1 1 1
Cartesian
1.053 0.000 2.674 Tl
2.632 2.316 1.337 Tm
0.143 0.000 0.000 Ga
```

Results
D(E_F): 1.1 states/eV/cell
Crystal system: trigonal

***

Most stable to least stable, the ends of the list are 3) and 2).

***

1) Here is an optimized crystal structure of Tm3Tl2Ga from Alexandria via LeMat-Bulk. Energies are from GGA-PBE.

Cell and atoms, written as POSCAR:
```
Tm3Tl2Ga
1.0
3.570 0.000 0.000
0.000 3.570 0.000
0.000 0.000 11.799
Tm Ga Tl
3 1 2
Cartesian
0.000 0.000 4.128 Tm
0.000 0.000 7.671 Tm
0.000 0.000 0.000 Tm
1.785 1.785 5.899 Ga
1.785 1.785 9.763 Tl
1.785 1.785 2.036 Tl
```

Results
D(E_F): 2.7 states/eV/cell
Crystal system: tetragonal

***

2) Here is an optimized crystal structure of Tm3Tl2Ga from Alexandria via LeMat-Bulk. Energies are from GGA-PBE.

Cell and atoms, written as POSCAR:
```
Tm3Tl2Ga
1.0
-4.974 -1.119 3.577
-1.101 -5.499 -3.253
7.156 -1.769 3.976
Tl Tm Ga
4 6 2
Cartesian
-1.003 -4.284 1.494 Tl
2.084 -4.103 2.806 Tl
2.627 -6.607 0.393 Tl
-1.546 -1.781 3.907 Tl
-2.656 -4.536 -1.124 Tm
-3.420 -2.082 1.448 Tm
-0.317 -4.516 4.714 Tm
0.896 -1.359 1.969 Tm
0.184 -7.028 2.331 Tm
1.398 -3.872 -0.415 Tm
-0.918 -1.519 -0.351 Ga
-5.157 -5.099 0.675 Ga
```

Results
D(E_F): 7.6 states/eV/cell
Crystal system: monoclinic

***

Most stable to least stable, the ends of the list are 1) and 2).

***

1) Here is an optimized crystal structure of TmTl2Ga from Alexandria via LeMat-Bulk. Energies are from GGA-PBE.

Cell and atoms, written as POSCAR:
```
TmTl2Ga
1.0
3.453 0.000 0.000
1.726 2.990 0.000
1.726 0.997 11.053
Ga Tl Tm
1 2 1
Cartesian
3.453 1.993 5.526 Ga
1.726 0.997 7.969 Tl
5.179 2.990 3.084 Tl
0.000 0.000 0.000 Tm
```

Results
D(E_F): 2.1 states/eV/cell
Crystal system: trigonal

***

2) Here is an optimized crystal structure of TmTl2Ga from Alexandria via LeMat-Bulk. Energies are from GGA-PBE.

Cell and atoms, written as POSCAR:
```
TmTl2Ga
1.0
4.639 0.000 0.000
0.000 4.577 0.000
0.000 0.000 4.577
Tl Tm Ga
2 1 1
Cartesian
0.000 2.288 0.000 Tl
0.000 0.000 2.288 Tl
2.320 2.288 2.288 Tm
2.320 0.000 0.000 Ga
```

Results
D(E_F): 1.1 states/eV/cell
Crystal system: tetragonal

***

Most stable to least stable, the ends of the list are 2) and 1).

***

1) Here is an optimized crystal structure of Tm6Tl5Ga from Alexandria via LeMat-Bulk. Energies are from GGA-PBE.

Cell and atoms, written as POSCAR:
```
Tm6Tl5Ga
1.0
-2.548 5.672 1.360
-9.040 -0.834 -2.839
-5.953 -2.286 3.691
Tm Tl Ga
6 5 1
Cartesian
-13.002 -1.002 0.192 Tm
-9.570 2.471 2.424 Tm
-7.971 0.082 -0.212 Tm
-2.711 1.290 -0.288 Tm
-4.539 3.555 2.021 Tm
-8.877 3.549 -1.191 Tm
-10.039 -2.137 0.724 Tl
-5.794 2.419 -0.740 Tl
-4.954 -0.983 0.128 Tl
-10.852 1.301 -0.240 Tl
-6.689 1.252 2.452 Tl
0.000 0.000 0.000 Ga
```

Results
D(E_F): 10.2 states/eV/cell
Crystal system: monoclinic

***

2) Here is an optimized crystal structure of Tm6Tl5Ga from Alexandria via LeMat-Bulk. Energies are from GGA-PBE.

Cell and atoms, written as POSCAR:
```
Tm6Tl5Ga
1.0
-1.729 -3.577 -3.495
4.640 -4.984 2.805
-7.031 1.996 5.507
Tl Tm Ga
5 6 1
Cartesian
-3.733 -1.530 3.454 Tl
-2.794 -2.579 0.040 Tl
-0.388 -5.035 1.363 Tl
2.320 -2.492 1.403 Tl
-1.327 -3.987 4.777 Tl
-3.451 -4.621 2.474 Tm
0.236 -2.971 -1.082 Tm
-5.839 -2.055 1.030 Tm
-4.357 -3.594 5.899 Tm
1.718 -4.510 3.788 Tm
-0.670 -1.945 2.344 Tm
0.000 0.000 0.000 Ga
```

Results
D(E_F): 9.0 states/eV/cell
Crystal system: monoclinic

***

Most stable to least stable, the ends of the list are 2) and 1).

***

1) Here is an optimized crystal structure of UTlGa2 from Alexandria via LeMat-Bulk. Energies are from GGA-PBE.

Cell and atoms, written as POSCAR:
```
UTlGa2
1.0
4.226 0.000 0.000
0.000 4.547 0.000
0.000 0.000 4.547
Ga U Tl
2 1 1
Cartesian
0.000 2.274 0.000 Ga
0.000 0.000 2.274 Ga
2.113 0.000 0.000 U
2.113 2.274 2.274 Tl
```

Results
D(E_F): 5.2 states/eV/cell
Crystal system: tetragonal

***

2) Here is an optimized crystal structure of UTlGa2 from Alexandria via LeMat-Bulk. Energies are from GGA-PBE.

Cell and atoms, written as POSCAR:
```
UTlGa2
1.0
3.081 0.000 0.000
1.540 2.668 0.000
1.540 0.889 10.727
Tl Ga U
1 2 1
Cartesian
0.000 0.000 0.000 Tl
1.540 0.889 7.892 Ga
4.621 2.668 2.835 Ga
3.081 1.779 5.364 U
```

Results
D(E_F): 5.8 states/eV/cell
Crystal system: trigonal

***

Most stable to least stable, the ends of the list are 1) and 2).

***

1) Here is an optimized crystal structure of TlGaW from Alexandria via LeMat-Bulk. Energies are from GGA-PBE.

Cell and atoms, written as POSCAR:
```
TlGaW
1.0
2.968 -0.002 0.001
-1.166 2.732 -0.001
-1.039 -1.229 15.409
W Ga Tl
2 2 2
Cartesian
0.897 -0.548 14.396 W
-0.133 2.049 1.014 W
1.331 1.084 3.179 Ga
-0.567 0.416 12.231 Ga
1.830 0.745 6.033 Tl
-1.066 0.755 9.376 Tl
```

Results
D(E_F): 2.5 states/eV/cell
Crystal system: triclinic

***

2) Here is an optimized crystal structure of TlGaW from Alexandria via LeMat-Bulk. Energies are from GGA-PBE.

Cell and atoms, written as POSCAR:
```
TlGaW
1.0
2.883 0.002 0.000
0.032 4.558 0.013
0.776 1.816 10.131
Tl W Ga
2 2 2
Cartesian
2.069 4.334 3.965 Tl
1.622 2.042 6.179 Tl
3.203 2.026 8.994 W
0.488 4.350 1.150 W
1.686 4.319 8.741 Ga
2.005 2.057 1.403 Ga
```

Results
D(E_F): 2.3 states/eV/cell
Crystal system: triclinic

***

3) Here is an optimized crystal structure of TlGaW from Alexandria via LeMat-Bulk. Energies are from GGA-PBE.

Cell and atoms, written as POSCAR:
```
TlGaW
1.0
3.282 0.001 0.003
-0.001 3.283 0.001
-0.033 -0.013 12.167
Tl W Ga
2 2 2
Cartesian
0.784 2.448 7.762 Tl
2.464 0.822 4.409 Tl
0.787 2.449 11.461 W
2.461 0.821 0.709 W
0.819 2.462 2.155 Ga
2.429 0.808 10.015 Ga
```

Results
D(E_F): 2.5 states/eV/cell
Crystal system: triclinic

***

4) Here is an optimized crystal structure of TlGaW from Alexandria via LeMat-Bulk. Energies are from GGA-PBE.

Cell and atoms, written as POSCAR:
```
TlGaW
1.0
3.179 -0.004 0.001
1.586 2.748 -0.001
1.536 -0.589 14.929
Ga Tl W
2 2 2
Cartesian
2.329 0.787 11.915 Ga
3.973 1.368 3.014 Ga
2.386 2.289 5.644 Tl
3.915 -0.134 9.284 Tl
2.386 2.285 0.914 W
3.916 -0.130 14.015 W
```

Results
D(E_F): 2.2 states/eV/cell
Crystal system: triclinic

***

Most stable to least stable, the ends of the list are 3) and 2).